# 1
DFT (PBE) results for a relaxed structure of Ca2CdSnN.

## Properties
SG: P4/mmm (123)
Formation energy (no corrections) (eV per atom): 0.48
Size of the total moment (μB per atom): 0.000
Energy above the lowest structure with this stoichiometry (meV per atom): 968

Lattice parameters (Å, degrees): 6.184 4.145 6.184 90.00 90.00 90.00
Positions (direct):
N1 0.000 0.500 0.000
Sn1 0.000 0.000 0.000
Ca1 0.000 0.000 0.500
Cd1 0.500 0.500 0.500
Ca2 0.500 0.000 0.000

# 2
DFT (PBE) results for a relaxed structure of Ca2CdSnN.

## Properties
SG: P4/mmm (123)
Formation energy (no corrections) (eV per atom): -0.41
Size of the total moment (μB per atom): 0.000
Energy above the lowest structure with this stoichiometry (meV per atom): 75

Lattice parameters (Å, degrees): 4.899 4.899 4.723 90.00 90.00 90.00
Positions (direct):
N1 0.000 0.000 0.000
Sn1 0.000 0.000 0.500
Ca1 0.500 0.000 0.000
Ca2 0.000 0.500 0.000
Cd1 0.500 0.500 0.500

# 3
DFT (PBE) results for a relaxed structure of Ca12CdSn4N3.

## Properties
SG: Im-3m (229)
Formation energy (no corrections) (eV per atom): -0.68
Size of the total moment (μB per atom): 0.000

Lattice parameters (Å, degrees): 8.823 8.823 8.823 109.47 109.47 109.47
Positions (direct):
Ca1 0.750 0.250 0.500
Ca2 0.000 0.283 0.283
Ca3 0.500 0.750 0.250
Cd1 0.000 0.000 0.000
Sn1 0.000 0.500 0.000
Ca4 0.750 0.500 0.250
Ca5 0.283 0.000 0.283
Ca6 0.717 0.717 0.000
Ca7 0.250 0.750 0.500
Sn2 0.500 0.000 0.000
N1 0.500 0.500 0.000
N2 0.000 0.500 0.500
Ca8 0.250 0.500 0.750
Ca9 0.283 0.283 0.000
Ca10 0.717 0.000 0.717
Sn3 0.500 0.500 0.500
Ca11 0.500 0.250 0.750
N3 0.500 0.000 0.500
Sn4 0.000 0.000 0.500
Ca12 0.000 0.717 0.717

# 4
DFT (PBE) results for a relaxed structure of Ca2CdSnN.

## Properties
SG: P4/mmm (123)
Formation energy (no corrections) (eV per atom): -0.49
Size of the total moment (μB per atom): 0.000
Energy above the lowest structure with this stoichiometry (meV per atom): 0

Lattice parameters (Å, degrees): 4.859 4.859 4.697 90.00 90.00 90.00
Positions (direct):
Ca1 0.500 0.000 0.000
Sn1 0.500 0.500 0.500
Ca2 0.000 0.500 0.000
N1 0.000 0.000 0.000
Cd1 0.000 0.000 0.500